<w>
Material: AcAlAu4
Method: DFT, PBE
State: relaxed

Cell lengths 5.7166, 5.7166, 5.7166 Å; angles 60.00, 60.00, 60.00 degrees
Fractional positions:
Ac 0.0000 0.0000 0.0000
Al 0.7500 0.7500 0.7500
Au 0.3758 0.3758 0.3758
Au 0.3758 0.3758 0.8725
Au 0.3758 0.8725 0.3758
Au 0.8725 0.3758 0.3758

Properties
Size of the total moment = 0.0 Bohr magnetons per cell

<x>
Material: AcAlAu4
Method: DFT, PBE
State: relaxed

Cell lengths 4.7361, 4.7361, 7.4250 Å; angles 90.00, 90.00, 90.00 degrees
Fractional positions:
Ac 0.0000 0.0000 0.0000
Al 0.5000 0.5000 0.5000
Au 0.0000 0.5000 0.5000
Au 0.5000 0.0000 0.5000
Au 0.5000 0.5000 0.1756
Au 0.5000 0.5000 0.8244

Properties
Size of the total moment = 0.0 Bohr magnetons per cell

Most favorable structure: <w>. The second most favorable one is 246 meV per atom above it.

<w>
Material: BaAcAl
Method: DFT, PBE
State: relaxed

Cell lengths 12.2614, 12.2614, 4.4461 Å; angles 90.00, 90.00, 157.56 degrees
Fractional positions:
Ba 0.1844 0.8156 0.7500
Ba 0.8156 0.1844 0.2500
Ac 0.4285 0.5715 0.7500
Ac 0.5715 0.4285 0.2500
Al 0.0319 0.9681 0.7500
Al 0.9681 0.0319 0.2500

Properties
Size of the total moment = 0.0 Bohr magnetons per cell

<x>
Material: BaAcAl
Method: DFT, PBE
State: relaxed

Cell lengths 7.7642, 7.7642, 7.7642 Å; angles 149.44, 149.44, 43.77 degrees
Fractional positions:
Ba 0.0000 0.0000 0.0000
Ac 0.2647 0.2647 0.0000
Al 0.6476 0.6476 0.0000

Properties
Size of the total moment = 0.0 Bohr magnetons per cell

Most favorable structure: <w>. The second most favorable one is 86 meV per atom above it.